Entry 1:
Here is a PBEsol-optimized structure of Y4ZrTe from Alexandria via LeMat-Bulk. Energies are from SCAN.

Cell and atoms, written as CIF:
```
data_Y4ZrTe
_chemical_formula_sum 'Y16 Zr4 Te4'
_cell_length_a 8.786
_cell_length_b 8.786
_cell_length_c 8.786
_cell_angle_alpha 90.00
_cell_angle_beta 90.00
_cell_angle_gamma 90.00
_space_group_name_H-M_alt 'F -4 3 m'
_space_group_IT_number 216
_space_group_name_Hall 'F -4 2 3'
loop_
_atom_site_label
_atom_site_type_symbol
_atom_site_fract_x
_atom_site_fract_y
_atom_site_fract_z
Y1 Y 0.123 0.123 0.377
Zr1 Zr 0.250 0.250 0.750
Te1 Te 0.000 0.000 0.000
```

Calculated values
- formation energy without anion corrections (eV/atom) = 0.32
- total magnetic moment (Bohr magnetons per cell) = 3.87

Entry 2:
Here is a PBEsol-optimized structure of Zn3Te from Alexandria via LeMat-Bulk. Energies are from SCAN.

Cell and atoms, written as CIF:
```
data_Zn3Te
_chemical_formula_sum 'Zn6 Te2'
_cell_length_a 3.773
_cell_length_b 3.773
_cell_length_c 11.565
_cell_angle_alpha 90.00
_cell_angle_beta 90.00
_cell_angle_gamma 90.00
_space_group_name_H-M_alt 'I 4/m m m'
_space_group_IT_number 139
_space_group_name_Hall '-I 4 2'
loop_
_atom_site_label
_atom_site_type_symbol
_atom_site_fract_x
_atom_site_fract_y
_atom_site_fract_z
Zn1 Zn 0.000 0.000 0.000
Zn2 Zn 0.000 0.500 0.250
Te1 Te 0.000 0.000 0.500
```

Calculated values
- formation energy without anion corrections (eV/atom) = 0.23
- total magnetic moment (Bohr magnetons per cell) = 0.00

Entry 3:
Here is a PBEsol-optimized structure of ZnTe7 from Alexandria via LeMat-Bulk. Energies are from SCAN.

Cell and atoms, written as CIF:
```
data_ZnTe7
_chemical_formula_sum 'Zn4 Te28'
_cell_length_a 9.406
_cell_length_b 9.406
_cell_length_c 9.406
_cell_angle_alpha 90.00
_cell_angle_beta 90.00
_cell_angle_gamma 90.00
_space_group_name_H-M_alt 'F m -3 m'
_space_group_IT_number 225
_space_group_name_Hall '-F 4 2 3'
loop_
_atom_site_label
_atom_site_type_symbol
_atom_site_fract_x
_atom_site_fract_y
_atom_site_fract_z
Zn1 Zn 0.000 0.000 0.000
Te1 Te 0.000 0.000 0.500
Te2 Te 0.000 0.250 0.250
```

Calculated values
- formation energy without anion corrections (eV/atom) = 0.46
- total magnetic moment (Bohr magnetons per cell) = 0.00